First-principles (PBE) data for a geometry-optimized TlInSnHg3 structure, as listed in Alexandria.

abc: 4.4010 7.3093 10.8252
angles: 104.48 90.00 90.00
Fractional positions:
Tl1 0.7500 0.8155 0.7158
Tl2 0.2500 0.1845 0.2842
Hg1 0.7500 0.3753 0.5304
Hg2 0.2500 0.6276 0.8866
Hg3 0.2500 0.6247 0.4696
Hg4 0.7500 0.9023 0.0725
Hg5 0.2500 0.0977 0.9275
Hg6 0.7500 0.3724 0.1134
Sn1 0.2500 0.0973 0.5974
Sn2 0.7500 0.9027 0.4026
In1 0.7500 0.3291 0.8099
In2 0.2500 0.6709 0.1900

Output
As for the calculated density: 10.24 Mg/m³. The symmetry is P2_1/m (11). Its formation energy is 0.02 eV per atom. For the spin magnetization, the calculation gives 0.00 μB per formula unit.

---

First-principles (PBE) data for a geometry-optimized Li3CdF6 structure, as listed in Alexandria.

abc: 6.2152 6.2152 6.2152
angles: 91.35 91.35 91.35
Fractional positions:
Li1 0.0600 0.2512 0.5523
Li2 0.5523 0.0600 0.2512
Li3 0.9400 0.7488 0.4477
Li4 0.7488 0.4477 0.9400
Li5 0.2512 0.5523 0.0600
Li6 0.4477 0.9400 0.7488
F1 0.3241 0.8974 0.0901
F2 0.9099 0.6759 0.1026
F3 0.8974 0.0901 0.3241
F4 0.5329 0.3798 0.1740
F5 0.0901 0.3241 0.8974
F6 0.1740 0.5329 0.3798
F7 0.1026 0.9099 0.6759
F8 0.6759 0.1026 0.9099
F9 0.3798 0.1740 0.5329
F10 0.6202 0.8260 0.4671
F11 0.8260 0.4671 0.6202
F12 0.4671 0.6202 0.8260
Cd1 0.0000 0.0000 0.0000
Cd2 0.5000 0.5000 0.5000

Output
As for the calculated density: 3.42 Mg/m³. The symmetry is R-3 (148). For the spin magnetization, the calculation gives 1.05 μB per formula unit. As for the energy above the most stable polymorph in this dataset: 18 meV per atom.

---

First-principles (PBE) data for a geometry-optimized Na3ZnPb structure, as listed in Alexandria.

abc: 7.4230 7.4230 7.5172
angles: 106.13 121.07 101.31
Fractional positions:
Na1 0.1757 0.9889 0.7651
Na2 0.2681 0.5577 0.8258
Na3 0.7319 0.4423 0.1742
Na4 0.7763 0.5894 0.7651
Na5 0.8243 0.0111 0.2349
Na6 0.2237 0.4106 0.2349
Zn1 0.3602 0.2392 0.5994
Zn2 0.6398 0.7608 0.4006
Pb1 0.7001 0.0689 0.7690
Pb2 0.2999 0.9311 0.2310

Output
As for the calculated density: 3.65 Mg/m³. The symmetry is C2/m (12). Its formation energy is 0.02 eV per atom. For the spin magnetization, the calculation gives 0.00 μB per formula unit. As for the energy above the most stable polymorph in this dataset: 73 meV per atom.

---

First-principles (PBE) data for a geometry-optimized Zn2Cu3 structure, as listed in Alexandria.

abc: 4.0609 4.0609 5.0487
angles: 90.00 90.00 120.00
Fractional positions:
Zn1 0.6667 0.3333 0.1614
Zn2 0.3333 0.6667 0.8386
Cu1 0.3333 0.6667 0.3530
Cu2 0.6667 0.3333 0.6470
Cu3 0.0000 0.0000 0.0000

Output
As for the calculated density: 7.40 Mg/m³. The symmetry is P-3m1 (164). Its formation energy is 0.14 eV per atom. For the spin magnetization, the calculation gives 0.00 μB per formula unit. As for the energy above the most stable polymorph in this dataset: 212 meV per atom.

---

First-principles (PBE) data for a geometry-optimized KSc4Ru structure, as listed in Alexandria.

abc: 5.9430 5.9430 5.9430
angles: 60.00 60.00 60.00
Fractional positions:
Sc1 0.3708 0.8875 0.3708
Sc2 0.8875 0.3708 0.3708
Sc3 0.3708 0.3708 0.3708
Sc4 0.3708 0.3708 0.8875
K1 0.7500 0.7500 0.7500
Ru1 0.0000 0.0000 0.0000

Output
As for the calculated density: 3.58 Mg/m³. The symmetry is F-43m (216). Its formation energy is 0.84 eV per atom. For the spin magnetization, the calculation gives 0.00 μB per formula unit.

---

First-principles (PBE) data for a geometry-optimized Zn6Pd12Pt structure, as listed in Alexandria.

abc: 6.9935 6.9935 6.9935
angles: 105.22 105.22 105.22
Fractional positions:
Pd1 0.7357 0.9999 0.2641
Pd2 0.7359 0.2643 0.0001
Pd3 0.8034 0.4400 0.4402
Pd4 0.2643 0.0001 0.7359
Pd5 0.4402 0.8034 0.4400
Pd6 0.5598 0.1966 0.5600
Pd7 0.9999 0.2641 0.7357
Pd8 0.0001 0.7359 0.2643
Pd9 0.5600 0.5598 0.1966
Pd10 0.4400 0.4402 0.8034
Pd11 0.1966 0.5600 0.5598
Pd12 0.2641 0.7357 0.9999
Zn1 0.1565 0.4231 0.1564
Zn2 0.8436 0.8435 0.5769
Zn3 0.4231 0.1564 0.1565
Zn4 0.8435 0.5769 0.8436
Zn5 0.1564 0.1565 0.4231
Zn6 0.5769 0.8436 0.8435
Pt1 0.0000 0.0000 0.0000

Output
As for the calculated density: 10.40 Mg/m³. The symmetry is R-3m (166). Its formation energy is -0.25 eV per atom. For the spin magnetization, the calculation gives 0.00 μB per formula unit.

---

First-principles (PBE) data for a geometry-optimized Ba2YCr structure, as listed in Alexandria.

abc: 10.1783 10.1783 10.1783
angles: 157.87 154.03 34.38
Fractional positions:
Ba1 0.5928 0.5928 0.0000
Ba2 0.9072 0.9072 0.0000
Cr1 0.7500 0.2500 0.5000
Y1 0.2500 0.7500 0.5000

Output
As for the calculated density: 3.97 Mg/m³. The symmetry is Immm (71). Its formation energy is 0.51 eV per atom. For the spin magnetization, the calculation gives 3.66 μB per formula unit. As for the energy above the most stable polymorph in this dataset: 118 meV per atom.

---

First-principles (PBE) data for a geometry-optimized LiSb2W structure, as listed in Alexandria.

abc: 4.7890 4.7890 3.3869
angles: 89.81 89.81 96.58
Fractional positions:
Sb1 0.0000 0.0000 0.0000
Sb2 0.5000 0.5000 0.0000
Li1 0.0000 0.5000 0.5000
W1 0.5000 0.0000 0.5000

Output
As for the calculated density: 9.35 Mg/m³. The symmetry is C2/m (12). For the spin magnetization, the calculation gives 0.00 μB per formula unit. As for the energy above the most stable polymorph in this dataset: 282 meV per atom.

---

First-principles (PBE) data for a geometry-optimized Nd3Pt structure, as listed in Alexandria.

abc: 3.7636 3.7465 9.3636
angles: 90.00 90.00 90.00
Fractional positions:
Pt1 0.0000 0.0000 0.9906
Nd1 0.5000 0.0000 0.7492
Nd2 0.0000 0.5000 0.4685
Nd3 0.5000 0.5000 0.1250

Output
As for the calculated density: 7.90 Mg/m³. The symmetry is Pmm2 (25). Its formation energy is -0.35 eV per atom. For the spin magnetization, the calculation gives 0.00 μB per formula unit.

---

First-principles (PBE) data for a geometry-optimized ScCd2Se structure, as listed in Alexandria.

abc: 5.2404 5.2404 3.8044
angles: 90.00 90.00 117.33
Fractional positions:
Cd1 0.0000 0.0000 0.0000
Cd2 0.5000 0.5000 0.0000
Se1 0.0000 0.5000 0.5000
Sc1 0.5000 0.0000 0.5000

Output
As for the calculated density: 6.24 Mg/m³. The symmetry is Cmmm (65). For the spin magnetization, the calculation gives 0.00 μB per formula unit. Its final energy is -3.31 eV per atom.

---

First-principles (PBE) data for a geometry-optimized Zn4CrPb structure, as listed in Alexandria.

abc: 5.3222 5.3222 5.3222
angles: 60.00 60.00 60.00
Fractional positions:
Zn1 0.6234 0.6234 0.1299
Zn2 0.6234 0.1299 0.6234
Zn3 0.6234 0.6234 0.6234
Zn4 0.1299 0.6234 0.6234
Pb1 0.0000 0.0000 0.0000
Cr1 0.2500 0.2500 0.2500

Output
As for the calculated density: 8.11 Mg/m³. The symmetry is F-43m (216). Its formation energy is 0.20 eV per atom. For the spin magnetization, the calculation gives 3.98 μB per formula unit.

---

First-principles (PBE) data for a geometry-optimized NbCo3Pt structure, as listed in Alexandria.

abc: 4.5149 4.5149 4.5149
angles: 90.00 90.00 90.00
Fractional positions:
Co1 0.5000 0.0000 0.0000
Co2 0.0000 0.0000 0.5000
Co3 0.0000 0.5000 0.0000
Pt1 0.0000 0.0000 0.0000
Nb1 0.5000 0.5000 0.5000

Output
As for the calculated density: 8.39 Mg/m³. The symmetry is Pm-3m (221). Its formation energy is 1.37 eV per atom. For the spin magnetization, the calculation gives 7.59 μB per formula unit. As for the energy above the most stable polymorph in this dataset: 0 meV per atom.

---

First-principles (PBE) data for a geometry-optimized SiRu2Se structure, as listed in Alexandria.

abc: 2.7969 2.7969 9.5133
angles: 90.00 90.00 117.45
Fractional positions:
Ru1 0.0000 0.0000 0.0014
Ru2 0.5000 0.5000 0.2426
Se1 0.0000 0.0000 0.4561
Si1 0.5000 0.5000 0.8000

Output
As for the calculated density: 7.77 Mg/m³. The symmetry is Cmm2 (35). For the spin magnetization, the calculation gives 0.00 μB per formula unit. As for the energy above the most stable polymorph in this dataset: 588 meV per atom.

---

First-principles (PBE) data for a geometry-optimized MnVOs structure, as listed in Alexandria.

abc: 2.7635 2.7635 6.5816
angles: 102.12 102.12 90.00
Fractional positions:
Mn1 0.9454 0.9454 0.8908
V1 0.7656 0.7656 0.5312
Os1 0.1390 0.1390 0.2780

Output
As for the calculated density: 10.24 Mg/m³. The symmetry is I4mm (107). Its formation energy is 0.75 eV per atom. For the spin magnetization, the calculation gives 2.13 μB per formula unit. As for the energy above the most stable polymorph in this dataset: 819 meV per atom.

---

First-principles (PBE) data for a geometry-optimized Cs3Nd3PtO8 structure, as listed in Alexandria.

abc: 7.1506 7.1507 8.0852
angles: 116.27 90.00 120.00
Fractional positions:
Cs1 0.0000 0.0000 0.0000
Cs2 0.0000 0.5000 0.0000
Cs3 0.5000 0.5000 0.0000
O1 0.2476 0.0453 0.3431
O2 0.2023 0.9547 0.6569
O3 0.7977 0.0453 0.3431
O4 0.7222 0.4444 0.6664
O5 0.7524 0.9547 0.6569
O6 0.7977 0.5953 0.3431
O7 0.2023 0.4047 0.6569
O8 0.2778 0.5556 0.3336
Nd1 0.5000 0.0000 0.5000
Nd2 0.0000 0.5000 0.5000
Nd3 0.5000 0.5000 0.5000
Pt1 0.0000 0.0000 0.5000

Output
As for the calculated density: 6.23 Mg/m³. The symmetry is R-3m (166). For the spin magnetization, the calculation gives 0.00 μB per formula unit. Its final energy is -6.27 eV per atom.

---

First-principles (PBE) data for a geometry-optimized LiNiIr2 structure, as listed in Alexandria.

abc: 2.6746 3.8268 5.1270
angles: 90.00 90.00 90.00
Fractional positions:
Ni1 0.5000 0.5000 0.7380
Ir1 0.0000 0.0000 0.0070
Ir2 0.5000 0.5000 0.2416
Li1 0.0000 0.0000 0.5134

Output
As for the calculated density: 14.24 Mg/m³. The symmetry is Pmm2 (25). Its formation energy is -0.03 eV per atom. For the spin magnetization, the calculation gives 0.00 μB per formula unit. As for the energy above the most stable polymorph in this dataset: 45 meV per atom.

---

First-principles (PBE) data for a geometry-optimized PrSi4N7 structure, as listed in Alexandria.

abc: 4.9216 5.3599 12.0103
angles: 90.00 90.00 90.00
Fractional positions:
Si1 0.0854 0.3227 0.3707
Si2 0.0818 0.8346 0.2475
Si3 0.5818 0.1654 0.2525
Si4 0.5854 0.6773 0.8707
Si5 0.0818 0.8346 0.7525
Si6 0.5854 0.6773 0.1293
Si7 0.5818 0.1654 0.7475
Si8 0.0854 0.3227 0.6293
N1 0.4331 0.8736 0.7710
N2 0.4362 0.2998 0.3682
N3 0.9939 0.6310 0.6478
N4 0.9331 0.1264 0.2710
N5 0.4331 0.8736 0.2290
N6 0.4362 0.2998 0.6318
N7 0.9587 0.2612 0.5000
N8 0.4939 0.3690 0.1478
N9 0.9331 0.1264 0.7290
N10 0.4587 0.7388 0.0000
N11 0.9362 0.7002 0.8682
N12 0.9362 0.7002 0.1318
N13 0.4939 0.3690 0.8522
N14 0.9939 0.6310 0.3522
Pr1 0.6352 0.6253 0.5000
Pr2 0.1352 0.3747 0.0000

Output
As for the calculated density: 3.68 Mg/m³. The symmetry is Pmn2_1 (31). For the spin magnetization, the calculation gives 1.94 μB per formula unit. Its final energy is -7.89 eV per atom.

---

First-principles (PBE) data for a geometry-optimized Mg2AgOs structure, as listed in Alexandria.

abc: 4.7323 4.7323 5.3767
angles: 83.35 83.35 34.34
Fractional positions:
Os1 0.2500 0.2500 0.2500
Mg1 0.9972 0.9972 0.0132
Mg2 0.5028 0.5028 0.4868
Ag1 0.7500 0.7500 0.7500

Output
As for the calculated density: 8.54 Mg/m³. The symmetry is C2/m (12). Its formation energy is 0.23 eV per atom. For the spin magnetization, the calculation gives 0.00 μB per formula unit.

---

First-principles (PBE) data for a geometry-optimized SrReN3 structure, as listed in Alexandria.

abc: 19.0640 5.4153 7.2000
angles: 90.00 150.70 90.00
Fractional positions:
N1 0.3814 0.4411 0.3016
N2 0.9918 0.2883 0.6492
N3 0.1422 0.4646 0.3494
N4 0.1186 0.9411 0.1984
N5 0.5082 0.7883 0.8508
N6 0.0082 0.7117 0.3508
N7 0.6186 0.5589 0.6984
N8 0.3578 0.9646 0.1506
N9 0.6422 0.0354 0.8494
N10 0.8814 0.0589 0.8016
N11 0.8578 0.5354 0.6506
N12 0.4918 0.2117 0.1492
Re1 0.5202 0.2555 0.4570
Re2 0.0202 0.2445 0.9570
Re3 0.9798 0.7555 0.0430
Re4 0.4798 0.7445 0.5430
Sr1 0.1368 0.2581 0.6833
Sr2 0.6368 0.2419 0.1833
Sr3 0.3632 0.7581 0.8167
Sr4 0.8632 0.7419 0.3167

Output
As for the calculated density: 5.77 Mg/m³. The symmetry is P2_1/c (14). For the spin magnetization, the calculation gives 0.00 μB per formula unit. Its final energy is -8.19 eV per atom.

---

First-principles (PBE) data for a geometry-optimized ZnSeBr structure, as listed in Alexandria.

abc: 6.9122 3.9908 7.5493
angles: 90.00 90.80 90.00
Fractional positions:
Se1 0.8371 0.0000 0.0091
Se2 0.8379 0.0000 0.3296
Zn1 0.0466 0.5000 0.3859
Zn2 0.0458 0.5000 0.9579
Br1 0.3140 0.5000 0.1750
Br2 0.2152 0.5000 0.6742

Output
As for the calculated density: 3.58 Mg/m³. The symmetry is Pm (6). For the spin magnetization, the calculation gives 0.00 μB per formula unit. Its final energy is -2.76 eV per atom.